1.
DFT (PBE-GGA) results for an optimized crystal structure of Cu9Ag.

The structure in extended XYZ format:
```
10
Lattice="2.246 -6.494 0.000 2.246 6.494 0.000 -1.490 0.000 4.243" Properties=species:S:1:pos:R:3 pbc="T T T"
Ag -0.745 0.000 2.122
Cu 2.246 -5.126 0.000
Cu 2.246 -2.592 0.000
Cu 2.246 0.000 0.000
Cu 2.246 2.592 0.000
Cu 2.246 5.126 0.000
Cu 1.501 -3.841 2.122
Cu 1.501 -1.357 2.122
Cu 1.501 1.357 2.122
Cu 1.501 3.841 2.122
```

Results
V: 124 Å³/cell
energy relative to the lowest polymorph listed for this composition: 7 meV/atom
crystal system: monoclinic
total energy: -0.1317 hartree per atom

***

2.
DFT (PBE-GGA) results for an optimized crystal structure of PmScAsO.

The structure in extended XYZ format:
```
8
Lattice="4.237 0.000 0.000 0.000 4.237 0.000 0.000 0.000 8.897" Properties=species:S:1:pos:R:3 pbc="T T T"
As 3.178 3.178 2.802
As 1.059 1.059 6.095
O 3.178 1.059 0.000
O 1.059 3.178 0.000
Pm 1.059 1.059 1.047
Pm 3.178 3.178 7.850
Sc 3.178 1.059 4.449
Sc 1.059 3.178 4.449
```

Results
V: 160 Å³/cell
energy relative to the lowest polymorph listed for this composition: 4 meV/atom
crystal system: tetragonal
total energy: -0.2651 hartree per atom

***

3.
DFT (PBE-GGA) results for an optimized crystal structure of BaCoCuW.

The structure in extended XYZ format:
```
4
Lattice="0.000 3.292 3.292 3.292 0.000 3.292 3.292 3.292 0.000" Properties=species:S:1:pos:R:3 pbc="T T T"
Ba 3.292 3.292 3.292
Co 0.000 0.000 0.000
Cu 4.939 4.939 4.939
W 1.646 1.646 1.646
```

Results
V: 71 Å³/cell
energy relative to the lowest polymorph listed for this composition: 77 meV/atom
crystal system: cubic
total energy: -0.1871 hartree per atom

***

4.
DFT (PBE-GGA) results for an optimized crystal structure of LuZnAg.

The structure in extended XYZ format:
```
3
Lattice="-3.248 2.793 1.703 -2.617 2.501 -2.854 -4.457 -1.043 -0.550" Properties=species:S:1:pos:R:3 pbc="T T T"
Ag 0.000 0.000 0.000
Lu -2.581 1.063 -0.425
Zn -7.742 3.189 -1.276
```

Results
V: 69 Å³/cell
crystal system: cubic
total energy: -0.1086 hartree per atom

***

5.
DFT (PBE-GGA) results for an optimized crystal structure of Tb2Y2In.

The structure in extended XYZ format:
```
10
Lattice="8.241 0.000 0.000 0.000 8.241 0.000 0.000 0.000 4.503" Properties=species:S:1:pos:R:3 pbc="T T T"
In 0.000 0.000 0.000
In 4.121 4.121 0.000
Tb 5.332 1.211 0.000
Tb 1.211 2.910 0.000
Tb 7.030 5.332 0.000
Tb 2.910 7.030 0.000
Y 2.850 1.271 2.251
Y 6.971 2.850 2.251
Y 1.271 5.391 2.251
Y 5.391 6.971 2.251
```

Results
V: 306 Å³/cell
crystal system: tetragonal
total energy: -0.1824 hartree per atom

***

6.
DFT (PBE-GGA) results for an optimized crystal structure of AgI2.

The structure in extended XYZ format:
```
6
Lattice="-2.934 5.335 3.266 2.934 -5.335 3.266 2.934 5.335 -3.266" Properties=species:S:1:pos:R:3 pbc="T T T"
Ag 0.000 0.000 1.633
Ag 0.000 0.000 4.899
I 1.763 -1.447 3.266
I 1.763 1.447 0.000
I 1.170 3.887 3.266
I 1.170 6.782 0.000
```

Results
V: 204 Å³/cell
crystal system: orthorhombic
total energy: -0.0728 hartree per atom

***

7.
DFT (PBE-GGA) results for an optimized crystal structure of Li2Nb2Al2CoOs.

The structure in extended XYZ format:
```
8
Lattice="4.295 0.000 0.000 0.000 4.295 0.000 0.000 0.000 6.068" Properties=species:S:1:pos:R:3 pbc="T T T"
Al 0.000 2.147 1.495
Al 2.147 0.000 4.574
Co 0.000 0.000 0.000
Li 2.147 2.147 0.000
Li 0.000 0.000 3.034
Nb 2.147 0.000 1.451
Nb 0.000 2.147 4.618
Os 2.147 2.147 3.034
```

Results
V: 112 Å³/cell
crystal system: tetragonal
total energy: -0.2416 hartree per atom

***

8.
DFT (PBE-GGA) results for an optimized crystal structure of UTl5Se6.

The structure in extended XYZ format:
```
12
Lattice="-5.353 5.446 0.728 -2.029 -7.396 0.201 3.184 0.534 7.062" Properties=species:S:1:pos:R:3 pbc="T T T"
Se -1.400 1.547 1.767
Se -0.440 -2.162 1.615
Se -5.094 -1.414 2.324
Se 0.895 -0.001 5.667
Se -3.760 0.747 6.376
Se -2.799 -2.962 6.224
Tl -4.243 1.156 0.552
Tl -3.140 -3.105 0.377
Tl -3.199 3.539 4.170
Tl -2.100 -0.708 3.995
Tl -1.000 -4.954 3.821
U 0.000 0.000 0.000
```

Results
V: 378 Å³/cell
crystal system: monoclinic
total energy: -0.1567 hartree per atom

***

9.
DFT (PBE-GGA) results for an optimized crystal structure of KBeNiBi.

The structure in extended XYZ format:
```
4
Lattice="-4.858 -0.187 0.162 -2.601 4.102 -0.255 -2.606 0.983 -3.988" Properties=species:S:1:pos:R:3 pbc="T T T"
Be -7.549 3.673 -3.061
Bi -5.033 2.449 -2.040
K 0.000 0.000 0.000
Ni -2.516 1.224 -1.020
```

Results
V: 81 Å³/cell
energy relative to the lowest polymorph listed for this composition: 0 meV/atom
crystal system: cubic
total energy: -0.1082 hartree per atom

***

10.
DFT (PBE-GGA) results for an optimized crystal structure of SmDyC2I2.

The structure in extended XYZ format:
```
6
Lattice="-3.353 -0.714 -2.414 -2.510 -3.332 0.417 -5.982 6.152 7.470" Properties=species:S:1:pos:R:3 pbc="T T T"
C -6.236 0.600 2.411
C -5.661 1.559 3.127
Dy -4.580 3.236 4.356
I -2.143 0.439 1.043
I -9.650 1.629 4.379
Sm -7.267 -1.145 1.103
```

Results
V: 166 Å³/cell
crystal system: monoclinic
total energy: -0.2204 hartree per atom

***

11.
DFT (PBE-GGA) results for an optimized crystal structure of RbNaNp.

The structure in extended XYZ format:
```
3
Lattice="0.000 4.234 4.234 4.234 0.000 4.234 4.234 4.234 0.000" Properties=species:S:1:pos:R:3 pbc="T T T"
Na 0.000 0.000 0.000
Np 2.117 2.117 2.117
Rb 6.350 6.350 6.350
```

Results
V: 152 Å³/cell
energy relative to the lowest polymorph listed for this composition: 0 meV/atom
crystal system: cubic
total energy: -0.1322 hartree per atom

***

12.
DFT (PBE-GGA) results for an optimized crystal structure of CsRbHg2BiSb.

The structure in extended XYZ format:
```
6
Lattice="-1.269 -1.155 4.698 -2.624 -1.862 -3.829 6.914 -9.021 -0.351" Properties=species:S:1:pos:R:3 pbc="T T T"
Bi 5.180 -6.758 -0.263
Cs 1.693 -5.845 1.682
Hg 1.609 -2.099 -0.082
Hg 3.214 -8.655 -1.260
Rb -1.699 -1.419 1.855
Sb -0.498 -3.811 -1.072
```

Results
V: 246 Å³/cell
crystal system: trigonal
total energy: -0.0777 hartree per atom